No. 1
Here is an optimized crystal structure of B3C2 from Alexandria via LeMat-Bulk. Energies are from PBE.

Cell and atoms, written as POSCAR:
```
B3C2
1.0
4.3040 -8.6497 1.5663
4.5314 -7.0133 5.1063
-6.1477 7.0558 -2.8665
B C
6 4
direct
0.4167 0.4167 0.0000
0.1667 0.6667 0.5000
0.5833 0.5833 0.0000
0.3333 0.8333 0.5000
0.7500 0.2500 0.5000
0.0000 0.0000 0.0000
0.8001 0.8001 0.0000
0.9499 0.4499 0.5000
0.1999 0.1999 0.0000
0.5501 0.0501 0.5000
```

Summary:
- formation enthalpy at 0 K (eV per atom) = 0.349
- total moment (μB/cell) = 0.00
- DOS(E_F) (states/eV per cell) = 2.63
- space group = I4_1/amd (141)
- uncorrected energy (eV per atom) = -7.347
- distance to the lowest polymorph of the same formula (meV/atom) = 138

---

No. 2
Here is an optimized crystal structure of B7C5 from Alexandria via LeMat-Bulk. Energies are from PBE.

Cell and atoms, written as POSCAR:
```
B7C5
1.0
-2.4107 0.5217 -0.1410
-0.3178 -0.8684 2.2198
2.3714 12.3568 5.1736
B C
7 5
direct
0.5000 0.0000 0.9424
0.5000 0.0000 0.5553
0.5000 0.5000 0.1652
0.0000 0.0000 0.6503
0.5000 0.5000 0.8430
0.0000 0.5000 0.7487
0.5000 0.0000 0.2649
0.0000 0.5000 0.0850
0.5000 0.5000 0.4736
0.0000 0.0000 0.3412
0.0000 0.0000 0.0224
0.0000 0.5000 0.4081
```

Summary:
- formation enthalpy at 0 K (eV per atom) = 0.376
- total moment (μB/cell) = 0.00
- DOS(E_F) (states/eV per cell) = 2.53
- space group = Pmm2 (25)
- uncorrected energy (eV per atom) = -7.362
- distance to the lowest polymorph of the same formula (meV/atom) = 212

---

No. 3
Here is an optimized crystal structure of BC from Alexandria via LeMat-Bulk. Energies are from PBE.

Cell and atoms, written as POSCAR:
```
BC
1.0
4.6995 0.0257 -0.6782
-2.5295 3.9607 -0.6782
0.0408 0.0750 4.2807
C B
6 6
direct
0.5591 0.2287 0.6649
0.6735 0.3161 0.0298
0.3299 0.6633 0.9454
0.8954 0.8925 0.6649
0.6783 0.0116 0.1218
0.9828 0.0068 0.0298
0.0399 0.6573 0.1187
0.2722 0.6055 0.5505
0.3240 0.3733 0.1187
0.7362 0.0696 0.5014
0.1776 0.9145 0.5021
0.5812 0.5110 0.5021
```

Summary:
- formation enthalpy at 0 K (eV per atom) = 0.425
- total moment (μB/cell) = 0.00
- DOS(E_F) (states/eV per cell) = 0.03
- space group = Cm (8)
- uncorrected energy (eV per atom) = -7.525
- distance to the lowest polymorph of the same formula (meV/atom) = 275

---

No. 4
Here is an optimized crystal structure of B7C5 from Alexandria via LeMat-Bulk. Energies are from PBE.

Cell and atoms, written as POSCAR:
```
B7C5
1.0
4.1530 0.4367 -1.0828
-1.9159 3.6847 -1.0435
-0.2047 -0.3932 5.1194
B C
7 5
direct
0.6597 0.3001 0.9808
0.8001 0.1718 0.5214
0.2304 0.5351 0.6502
0.5593 0.4927 0.4663
0.7120 0.9661 0.1151
0.0411 0.7463 0.1495
0.0008 0.0601 0.9704
0.1710 0.8350 0.5103
0.3261 0.6655 0.0242
0.3867 0.3747 0.1173
0.8825 0.8764 0.6156
0.4802 0.2260 0.6288
```

Summary:
- formation enthalpy at 0 K (eV per atom) = 0.428
- total moment (μB/cell) = 0.00
- DOS(E_F) (states/eV per cell) = 1.03
- space group = P1 (1)
- uncorrected energy (eV per atom) = -7.310
- distance to the lowest polymorph of the same formula (meV/atom) = 264

---

No. 5
Here is an optimized crystal structure of B7C5 from Alexandria via LeMat-Bulk. Energies are from PBE.

Cell and atoms, written as POSCAR:
```
B7C5
1.0
-4.9329 -1.9057 4.4895
-3.1870 -3.4103 5.1317
2.2483 3.7187 2.6003
B C
7 5
direct
0.6621 0.6621 0.3309
0.9192 0.9192 0.1896
0.0166 0.0166 0.9950
0.3158 0.3158 0.6686
0.0086 0.0086 0.5169
0.3173 0.3173 0.1484
0.9143 0.9143 0.7310
0.2347 0.2347 0.8671
0.5974 0.5974 0.5575
0.6667 0.6667 0.8325
0.2487 0.2487 0.3737
0.5986 0.5986 0.0387
```

Summary:
- formation enthalpy at 0 K (eV per atom) = 0.439
- total moment (μB/cell) = 0.00
- DOS(E_F) (states/eV per cell) = 2.86
- space group = Cm (8)
- uncorrected energy (eV per atom) = -7.299
- distance to the lowest polymorph of the same formula (meV/atom) = 275

---

No. 6
Here is an optimized crystal structure of B7C5 from Alexandria via LeMat-Bulk. Energies are from PBE.

Cell and atoms, written as POSCAR:
```
B7C5
1.0
2.4495 0.0000 0.0000
0.0000 4.1251 0.0000
0.0000 0.0000 8.1936
B C
7 5
direct
0.0000 0.2181 0.5116
0.0000 0.2181 0.1551
0.5000 0.5037 0.8333
0.0000 0.0096 0.3333
0.5000 0.5365 0.5334
0.5000 0.5365 0.1333
0.5000 0.6911 0.3333
0.5000 0.7844 0.9898
0.0000 0.9964 0.6842
0.0000 0.9964 0.9824
0.0000 0.2248 0.8333
0.5000 0.7844 0.6769
```

Summary:
- formation enthalpy at 0 K (eV per atom) = 0.527
- total moment (μB/cell) = 0.00
- DOS(E_F) (states/eV per cell) = 2.68
- space group = Pmm2 (25)
- uncorrected energy (eV per atom) = -7.212
- distance to the lowest polymorph of the same formula (meV/atom) = 362

---

No. 7
Here is an optimized crystal structure of B7C5 from Alexandria via LeMat-Bulk. Energies are from PBE.

Cell and atoms, written as POSCAR:
```
B7C5
1.0
-4.1041 1.3312 0.9605
-4.0841 -1.2918 1.0909
6.2679 0.3621 6.3189
B C
7 5
direct
0.2711 0.2711 0.6146
0.7072 0.7072 0.3375
0.9747 0.9747 0.5202
0.5880 0.5880 0.9268
0.0334 0.0334 0.0365
0.4272 0.4272 0.3544
0.3268 0.3268 0.1235
0.8003 0.8003 0.5446
0.8336 0.8336 0.0274
0.1978 0.1978 0.2362
0.1702 0.1702 0.7199
0.6698 0.6698 0.8085
```

Summary:
- formation enthalpy at 0 K (eV per atom) = 0.371
- total moment (μB/cell) = 0.00
- DOS(E_F) (states/eV per cell) = 1.66
- space group = Cm (8)
- uncorrected energy (eV per atom) = -7.367
- distance to the lowest polymorph of the same formula (meV/atom) = 207

---

No. 8
Here is an optimized crystal structure of B3C7 from Alexandria via LeMat-Bulk. Energies are from PBE.

Cell and atoms, written as POSCAR:
```
B3C7
1.0
-6.8513 7.6532 -4.2410
-8.5422 6.6118 -2.6100
-6.9611 8.4719 -1.8076
C B
7 3
direct
0.6493 0.6493 0.6493
0.8503 0.8503 0.8503
0.6021 0.6021 0.6021
0.0440 0.0440 0.0440
0.2539 0.2539 0.2539
0.9986 0.9986 0.9986
0.4463 0.4463 0.4463
0.3985 0.3985 0.3985
0.8025 0.8025 0.8025
0.2046 0.2046 0.2046
```

Summary:
- formation enthalpy at 0 K (eV per atom) = 0.346
- total moment (μB/cell) = 0.00
- DOS(E_F) (states/eV per cell) = 1.67
- space group = R3m (160)
- uncorrected energy (eV per atom) = -8.114
- distance to the lowest polymorph of the same formula (meV/atom) = 83

---

> Which formula does entry 1 have?

B3C2